Record 1
{"formula": "Y2Al4ZnAu3", "functional": "PBE", "state": "relaxed", "dos_at_fermi_per_ev_atom": 0.484, "m_tot_mub_per_atom": 0.00, "formation_energy_ev_per_atom": -0.655, "sg": "No. 115", "cell": [[4.265, 0.000, 0.000], [0.000, 4.265, 0.000], [0.000, 0.000, 10.761]], "species": ["Al", "Al", "Al", "Al", "Au", "Au", "Au", "Zn", "Y", "Y"], "fractional_positions": [[0.000, 0.000, 0.000], [0.500, 0.000, 0.635], [0.000, 0.500, 0.365], [0.500, 0.500, 0.000], [0.000, 0.000, 0.500], [0.500, 0.000, 0.865], [0.000, 0.500, 0.135], [0.500, 0.500, 0.500], [0.000, 0.500, 0.746], [0.500, 0.000, 0.254]]}


Record 2
{"formula": "Tb3TmSb3", "functional": "PBE", "state": "relaxed", "raw_formation_energy_ev_per_fu": -6.29, "dos_at_fermi_per_ev_atom": 0.730, "m_tot_mub_per_atom": 0.00, "e_above_lowest_polymorph_mev_per_atom": 90, "sg": "No. 148", "cell": [[8.938, 0.000, 0.000], [4.469, 7.741, 0.000], [4.469, 2.580, 6.153]], "species": ["Tm", "Tm", "Sb", "Sb", "Sb", "Sb", "Sb", "Sb", "Tb", "Tb", "Tb", "Tb", "Tb", "Tb"], "fractional_positions": [[0.667, 0.667, 0.000], [0.333, 0.333, 0.000], [0.077, 0.472, 0.757], [0.528, 0.306, 0.243], [0.472, 0.694, 0.757], [0.694, 0.077, 0.757], [0.306, 0.923, 0.243], [0.923, 0.528, 0.243], [0.912, 0.177, 0.255], [0.088, 0.823, 0.745], [0.657, 0.912, 0.255], [0.177, 0.657, 0.255], [0.343, 0.088, 0.745], [0.823, 0.343, 0.745]]}


no.,final energy (eV/f.u.)
1,-45.56
2,-37.02